# Pr2HfS5 | Alexandria via LeMat-Bulk | GGA-PBE | relaxed
# formation energy without anion corrections	-1.90	eV/atom
# ΔE to the lowest computed polymorph	0.0000	eV per atom
data_Pr2HfS5
_cell_length_a 11.633
_cell_length_b 8.066
_cell_length_c 7.412
_cell_angle_alpha 90.00
_cell_angle_beta 90.00
_cell_angle_gamma 90.00
_space_group_name_H-M_alt 'P n m a'
_space_group_IT_number 62
_space_group_name_Hall '-P 2ac 2n'
loop_
_atom_site_label
_atom_site_type_symbol
_atom_site_fract_x
_atom_site_fract_y
_atom_site_fract_z
Pr1 Pr 0.175 0.001 0.041
Hf1 Hf 0.008 0.750 0.573
S1 S 0.005 0.750 0.940
S2 S 0.081 0.035 0.667
S3 S 0.185 0.750 0.349
S4 S 0.205 0.250 0.328